HfPCl2F after structural relaxation. Source: the Alexandria database, functional PBE.

abc: 4.8651 4.8651 5.1746
angles: 90.00 90.00 90.00
Atoms (fractional coordinates):
F 0.5000 0.5000 0.5000
Cl 0.5000 0.0000 0.0000
Cl 0.0000 0.5000 0.0000
P 0.0000 0.0000 0.5000
Hf 0.0000 0.0000 0.0000

## Properties
D(E_F) ... 3.536 states/eV per cell
Uncorrected formation energy ... -0.76 eV per atom
Distance to the lowest polymorph of the same formula ... 0.000 eV per atom
Total moment ... 0.254 μB/atom
Symmetry ... No. 123
VASP energy ... -24.7 eV/cell